[1]
First-principles (GGA-PBE) data for a relaxed structure of NdSmEr4Tm2, as listed in Alexandria.

Output
DFT total energy	-4.566	eV/atom

Cell: 7.075 12.238 12.241 Å, 146.41 106.81 90.00°
Sites, in units of the cell vectors:
Tm  0.500  0.000  0.000
Er  0.251  0.249  0.501
Er  0.749  0.751  0.499
Er  0.250  0.250  0.999
Er  0.750  0.750  0.001
Er  0.749  0.250  0.998
Sm  0.500  0.500  0.500
Tm  0.500  0.000  0.500
Tm  0.000  0.000  0.500
Er  0.750  0.248  0.500
Sm  0.000  0.000  0.000
Er  0.250  0.752  0.500
Tm  0.500  0.500  0.000
Er  0.251  0.750  0.002
Nd  0.000  0.500  0.000
Nd  0.000  0.500  0.500



[2]
First-principles (GGA-PBE) data for a relaxed structure of CSe2, as listed in Alexandria.

Output
DFT total energy	-4.303	eV/atom
raw formation energy	1.095	eV per atom

Cell: 9.567 9.567 4.496 Å, 90.00 90.00 161.82°
Sites, in units of the cell vectors:
Se  0.202  0.798  0.750
C  0.771  0.229  0.750
Se  0.472  0.528  0.750
Se  0.528  0.472  0.250
Se  0.798  0.202  0.250
C  0.229  0.771  0.250



[3]
First-principles (GGA-PBE) data for a relaxed structure of MgFeOs, as listed in Alexandria.

Output
DFT total energy	-6.794	eV/atom

Cell: 6.943 6.743 2.681 Å, 82.92 74.55 22.53°
Last column: magnetic moment on the atom in μB.
Sites, in units of the cell vectors:
Fe  0.006  0.006  0.994  2.50
Os  0.659  0.659  0.341  0.14
Mg  0.335  0.335  0.665  -0.02



[4]
First-principles (GGA-PBE) data for a relaxed structure of AcLaZnPd, as listed in Alexandria.

Output
DFT total energy	-4.353	eV/atom

Cell: 5.362 5.362 5.362 Å, 60.00 60.00 60.00°
Sites, in units of the cell vectors:
Ac  0.750  0.750  0.750
Pd  0.500  0.500  0.500
La  0.250  0.250  0.250
Zn  0.000  0.000  0.000



[5]
First-principles (GGA-PBE) data for a relaxed structure of NaMgOs3, as listed in Alexandria.

Output
DFT total energy	-4.555	eV/atom

Cell: 4.521 4.521 4.521 Å, 90.00 90.00 90.00°
Last column: magnetic moment on the atom in μB.
Sites, in units of the cell vectors:
Os  0.000  0.500  0.000  1.08
Os  0.500  0.000  0.000  0.79
Na  0.000  0.000  0.000  0.01
Mg  0.500  0.500  0.500  -0.02
Os  0.000  0.000  0.500  0.97



[6]
First-principles (GGA-PBE) data for a relaxed structure of FeAs2SeN, as listed in Alexandria.

Output
DFT total energy	-4.525	eV/atom
raw formation energy	1.389	eV per atom

Cell: 4.488 4.488 4.495 Å, 90.00 90.00 90.00°
Sites, in units of the cell vectors:
Fe  0.000  0.000  0.000
N  0.500  0.500  0.500
As  0.500  0.000  0.000
As  0.000  0.500  0.000
Se  0.000  0.000  0.500



[7]
First-principles (GGA-PBE) data for a relaxed structure of TbZnCu11, as listed in Alexandria.

Output
DFT total energy	-4.017	eV/atom

Cell: 4.858 6.518 6.459 Å, 82.05 67.91 68.43°
Sites, in units of the cell vectors:
Cu  0.501  0.221  0.777
Cu  0.000  0.000  0.500
Zn  0.500  0.500  0.000
Cu  0.500  0.000  0.500
Cu  0.010  0.352  0.642
Cu  0.499  0.779  0.223
Cu  0.722  0.779  0.777
Cu  0.000  0.500  0.000
Cu  0.348  0.648  0.642
Tb  0.000  0.000  0.000
Cu  0.278  0.221  0.223
Cu  0.990  0.648  0.358
Cu  0.652  0.352  0.358



[8]
First-principles (GGA-PBE) data for a relaxed structure of EuTh2Tl, as listed in Alexandria.

Output
DFT total energy	-6.871	eV/atom

Cell: 5.019 4.956 4.956 Å, 90.00 90.00 90.00°
Last column: magnetic moment on the atom in μB.
Sites, in units of the cell vectors:
Th  0.000  0.000  0.500  -0.09
Th  0.000  0.500  0.000  -0.09
Tl  0.500  0.000  0.000  0.01
Eu  0.500  0.500  0.500  -6.85